DFT (SCAN) results for a crystal of FeOs2Cl relaxed with PBEsol.

Summary:
electronic total energy: -41.414 eV per atom
space group: Imm2, No. 44
uncorrected formation energy: 1.053 eV/atom
offset from the most stable computed form: 398 meV/atom

The structure in POSCAR format:
```
FeOs2Cl
1.0
-1.392 2.175 4.377
1.392 -2.175 4.377
1.392 2.175 -4.377
Fe Os Cl
1 2 1
Cartesian
0.000 0.000 0.000 Fe
1.392 0.000 2.425 Os
0.000 0.000 4.678 Os
0.000 2.175 2.388 Cl
```